No. 1
Material: Hf5InBi
Method: DFT, PBE-GGA
State: relaxed

```
Hf5InBi
1.0
6.273 -4.234 0.000
6.273 4.234 0.000
-3.641 0.000 6.682
Hf In Bi
10 2 2
Direct
0.082 0.918 0.750
0.104 0.305 0.084
0.158 0.717 0.362
0.283 0.842 0.138
0.305 0.104 0.584
0.695 0.896 0.416
0.717 0.158 0.862
0.842 0.283 0.638
0.896 0.695 0.916
0.918 0.082 0.250
0.460 0.540 0.750
0.540 0.460 0.250
0.000 0.500 0.500
0.500 0.000 0.000
```

Symmetry   C2/c (15)
Formation enthalpy at 0 K   1.91 eV per formula unit
Magnetic moment   0.00 μB/f.u.

---

No. 2
Material: BaCa5Cd3
Method: DFT, PBE-GGA
State: relaxed

```
BaCa5Cd3
1.0
9.911 0.000 0.000
-4.956 8.583 0.000
0.000 0.000 7.207
Ba Ca Cd
2 10 6
Direct
0.000 0.000 0.000
0.000 0.000 0.500
0.000 0.342 0.250
0.000 0.658 0.750
0.333 0.667 0.000
0.333 0.667 0.500
0.342 0.000 0.250
0.342 0.342 0.750
0.658 0.000 0.750
0.658 0.658 0.250
0.667 0.333 0.000
0.667 0.333 0.500
0.000 0.336 0.750
0.000 0.664 0.250
0.336 0.000 0.750
0.336 0.336 0.250
0.664 0.000 0.250
0.664 0.664 0.750
```

Symmetry   P6_3/mcm (193)
Formation enthalpy at 0 K   -1.67 eV per formula unit
Magnetic moment   0.00 μB/f.u.